Record 1
# TlOs2 (GGA-PBE, relaxed)
data_TlOs2
_chemical_formula_sum 'Tl2 Os4'
_cell_length_a 2.900
_cell_length_b 2.900
_cell_length_c 12.321
_cell_angle_alpha 90.00
_cell_angle_beta 90.00
_cell_angle_gamma 90.00
_symmetry_space_group_name_H-M 'I 4/m m m'
_symmetry_Int_Tables_number 139
_symmetry_space_group_name_Hall '-I 4 2'
loop_
_atom_site_label
_atom_site_fract_x
_atom_site_fract_y
_atom_site_fract_z
Tl1 0.000 0.000 0.000
Os1 0.000 0.000 0.315
# DFT formation energy	15.29	kcal/mol of atoms
# energy above the lowest structure with this stoichiometry	0.092	eV per atom

=====

Record 2
# MnCr5S8 (GGA-PBE, relaxed)
data_MnCr5S8
_chemical_formula_sum 'Mn4 Cr20 S32'
_cell_length_a 9.696
_cell_length_b 9.696
_cell_length_c 9.696
_cell_angle_alpha 90.00
_cell_angle_beta 90.00
_cell_angle_gamma 90.00
_symmetry_space_group_name_H-M 'F -4 3 m'
_symmetry_Int_Tables_number 216
_symmetry_space_group_name_Hall 'F -4 2 3'
loop_
_atom_site_label
_atom_site_fract_x
_atom_site_fract_y
_atom_site_fract_z
Mn1 0.000 0.000 0.000
Cr1 0.145 0.145 0.645
Cr2 0.250 0.250 0.250
S1 0.112 0.112 0.388
S2 0.128 0.128 0.872
# raw formation energy	-0.495	eV per atom

=====

Record 3
# In8Ga5Hg (GGA-PBE, relaxed)
data_In8Ga5Hg
_chemical_formula_sum 'In16 Ga10 Hg2'
_cell_length_a 10.780
_cell_length_b 10.780
_cell_length_c 5.980
_cell_angle_alpha 90.00
_cell_angle_beta 90.00
_cell_angle_gamma 90.00
_symmetry_space_group_name_H-M 'I -4'
_symmetry_Int_Tables_number 82
loop_
_symmetry_equiv_pos_as_xyz
'x,y,z'
'y,-x,-z'
'-x,-y,z'
'-y,x,-z'
'x+1/2,y+1/2,z+1/2'
'y+1/2,-x+1/2,-z+1/2'
'-x+1/2,-y+1/2,z+1/2'
'-y+1/2,x+1/2,-z+1/2'
loop_
_atom_site_label
_atom_site_fract_x
_atom_site_fract_y
_atom_site_fract_z
In1 0.001 0.297 0.170
In2 0.172 0.270 0.715
Ga1 0.000 0.000 0.000
Ga2 0.064 0.868 0.638
Hg1 0.000 0.500 0.750
# DFT formation energy	1.03	kcal/mol of atoms

=====

Record 4
# Sc2CoMo (GGA-PBE, relaxed)
data_Sc2CoMo
_chemical_formula_sum 'Sc8 Co4 Mo4'
_cell_length_a 6.448
_cell_length_b 6.448
_cell_length_c 6.448
_cell_angle_alpha 90.00
_cell_angle_beta 90.00
_cell_angle_gamma 90.00
_symmetry_space_group_name_H-M 'F -4 3 m'
_symmetry_Int_Tables_number 216
_symmetry_space_group_name_Hall 'F -4 2 3'
loop_
_atom_site_label
_atom_site_fract_x
_atom_site_fract_y
_atom_site_fract_z
Sc1 0.000 0.000 0.000
Sc2 0.250 0.250 0.250
Co1 0.000 0.000 0.500
Mo1 0.250 0.250 0.750
# DFT formation energy	5.36	kcal/mol of atoms

=====

Record 5
# LaMnMo (GGA-PBE, relaxed)
data_LaMnMo
_chemical_formula_sum 'La2 Mn2 Mo2'
_cell_length_a 3.126
_cell_length_b 3.126
_cell_length_c 11.906
_cell_angle_alpha 90.00
_cell_angle_beta 90.00
_cell_angle_gamma 90.00
_symmetry_space_group_name_H-M 'I 4 m m'
_symmetry_Int_Tables_number 107
_symmetry_space_group_name_Hall 'I 4 -2'
loop_
_atom_site_label
_atom_site_fract_x
_atom_site_fract_y
_atom_site_fract_z
La1 0.000 0.000 0.000
Mn1 0.000 0.000 0.302
Mo1 0.000 0.000 0.710
# DFT formation energy	8.30	kcal/mol of atoms
# energy above the lowest structure with this stoichiometry	0.000	eV per atom

=====

Record 6
# RbZnInAs2 (GGA-PBE, relaxed)
data_RbZnInAs2
_chemical_formula_sum 'Rb4 Zn4 In4 As8'
_cell_length_a 13.985
_cell_length_b 4.348
_cell_length_c 10.063
_cell_angle_alpha 90.00
_cell_angle_beta 98.82
_cell_angle_gamma 90.00
_symmetry_space_group_name_H-M 'C 1 2/m 1'
_symmetry_Int_Tables_number 12
loop_
_symmetry_equiv_pos_as_xyz
'x,y,z'
'-x,-y,-z'
'-x,y,-z'
'x,-y,z'
'x+1/2,y+1/2,z'
'-x+1/2,-y+1/2,-z'
'-x+1/2,y+1/2,-z'
'x+1/2,-y+1/2,z'
loop_
_atom_site_label
_atom_site_fract_x
_atom_site_fract_y
_atom_site_fract_z
Rb1 0.161 0.000 0.168
Zn1 0.174 0.000 0.576
In1 0.044 0.500 0.687
As1 0.125 0.000 0.812
As2 0.138 0.500 0.443
# DFT formation energy	-7.96	kcal/mol of atoms

=====

| no. | electronic total energy (Ha/atom) | DOS at the Fermi energy (states/eV per cell) |
| --- | --- | --- |
| 1 | -0.280 | 4.93 |
| 2 | -0.255 | 37.62 |
| 3 | -0.096 | 12.39 |
| 4 | -0.273 | 26.28 |
| 5 | -0.292 | 6.84 |
| 6 | -0.118 | 0.40 |